Entry from Alexandria: an optimized crystal structure of SrMgAlHg (PBE-GGA).

D(E_F) = 2.5 states/eV per cell
Electronic total energy = -2.016 eV/atom
DFT formation energy = -186 meV per atom

a = 5.2449 Å, b = 5.2449 Å, c = 5.2449 Å
α = 60.00°, β = 60.00°, γ = 60.00°
Last column: nearest neighbours and their distance in Å.
Atoms (fractional coordinates):
1 Sr 0.0000 0.0000 0.0000  4 Al 3.21, 4 Hg 3.21
2 Mg 0.5000 0.5000 0.5000  4 Hg 3.21, 4 Al 3.21
3 Al 0.7500 0.7500 0.7500  4 Sr 3.21, 4 Mg 3.21
4 Hg 0.2500 0.2500 0.2500  4 Mg 3.21, 4 Sr 3.21